Compound: KErMnF6
Source: Alexandria via LeMat-Bulk
Functional: PBE with a Hubbard U
Structure: relaxed

Cell: 5.861 5.861 10.978 Å, 90.00 90.00 120.00°
Sites, in units of the cell vectors:
1 K 0.000 0.000 0.000
2 K 0.000 0.000 0.500
3 Er 0.333 0.667 0.250
4 Er 0.667 0.333 0.750
5 Mn 0.333 0.667 0.750
6 Mn 0.667 0.333 0.250
7 F 0.002 0.376 0.646
8 F 0.002 0.625 0.854
9 F 0.375 0.376 0.854
10 F 0.375 0.998 0.646
11 F 0.376 0.002 0.146
12 F 0.376 0.375 0.354
13 F 0.624 0.625 0.646
14 F 0.624 0.998 0.854
15 F 0.625 0.002 0.354
16 F 0.625 0.624 0.146
17 F 0.998 0.375 0.146
18 F 0.998 0.624 0.354

Energy (eV per atom): -6.0670
N(E_F) (states/eV/f.u.): 0.00
Total magnetization (μB/cell): 10.00